This record from Alexandria via LeMat-Bulk describes an optimized crystal structure of Ba2ScRu3O12. The functional is PBE.

abc: 7.1689 7.1689 7.1689
angles: 60.63 60.63 60.63
Closest atoms and distances in Å follow each position.
Positions (direct):
Ba 0.1360 0.1360 0.1360  3 O 2.72
Ba 0.8640 0.8640 0.8640  3 O 2.72
Sc 0.5000 0.5000 0.5000  6 O 2.14
Ru 0.0000 0.5000 0.5000  6 O 1.90-1.95
Ru 0.5000 0.0000 0.5000  6 O 1.90-1.95
Ru 0.5000 0.5000 0.0000  6 O 1.90-1.95
O 0.1400 0.5967 0.5967  1 Ru 1.95, 1 Sc 2.14
O 0.1971 0.1971 0.5814  2 Ru 1.90
O 0.1971 0.5814 0.1971  2 Ru 1.90
O 0.4033 0.4033 0.8600  1 Ru 1.95, 1 Sc 2.14
O 0.4033 0.8600 0.4033  1 Ru 1.95, 1 Sc 2.14
O 0.4186 0.8029 0.8029  2 Ru 1.90
O 0.5814 0.1971 0.1971  2 Ru 1.90
O 0.5967 0.1400 0.5967  1 Ru 1.95, 1 Sc 2.14
O 0.5967 0.5967 0.1400  1 Ru 1.95, 1 Sc 2.14
O 0.8029 0.4186 0.8029  2 Ru 1.90
O 0.8029 0.8029 0.4186  2 Ru 1.90
O 0.8600 0.4033 0.4033  1 Ru 1.95, 1 Sc 2.14

## Properties
SG: No. 166
Formation energy (no corrections) (eV per atom): -1.598
M_tot (μB/atom): 0.000
Electronic total energy (eV for the cell shown): -126.27



This record from Alexandria via LeMat-Bulk describes an optimized crystal structure of BaSiRuO6. The functional is PBE.

abc: 5.0382 5.0382 5.8118
angles: 90.00 90.00 120.00
Closest atoms and distances in Å follow each position.
Positions (direct):
Ba 0.0000 0.0000 0.0000  6 O 2.72
Si 0.3333 0.6667 0.5000  6 O 1.81
Ru 0.6667 0.3333 0.5000  6 O 1.94
O 0.0202 0.4032 0.3194  1 Si 1.81, 1 Ru 1.94
O 0.0202 0.6169 0.6806  1 Si 1.81, 1 Ru 1.94
O 0.3831 0.4032 0.6806  1 Si 1.81, 1 Ru 1.94
O 0.3831 0.9798 0.3194  1 Si 1.81, 1 Ru 1.94
O 0.5968 0.6169 0.3194  1 Si 1.81, 1 Ru 1.94
O 0.5968 0.9798 0.6806  1 Si 1.81, 1 Ru 1.94

## Properties
SG: No. 149
Formation energy (no corrections) (eV per atom): -1.918
M_tot (μB/atom): 0.207
Electronic total energy (eV for the cell shown): -63.64



This record from Alexandria via LeMat-Bulk describes an optimized crystal structure of Ba3SmRu2O9. The functional is PBE.

abc: 5.9217 5.9217 7.3371
angles: 90.00 90.00 120.00
Closest atoms and distances in Å follow each position.
Positions (direct):
Ba 0.0000 0.0000 0.0000  12 O 2.94-2.96
Ba 0.3333 0.6667 0.6836  12 O 2.88-3.14
Ba 0.6667 0.3333 0.3164  12 O 2.88-3.14
Sm 0.0000 0.0000 0.5000  6 O 2.28
Ru 0.3333 0.6667 0.1601  6 O 1.96-2.07
Ru 0.6667 0.3333 0.8399  6 O 1.96-2.07
O 0.0000 0.5000 0.0000  2 Ru 2.07
O 0.1778 0.3556 0.3143  1 Ru 1.96
O 0.1778 0.8222 0.3143  1 Ru 1.96
O 0.3556 0.1778 0.6857  1 Ru 1.96
O 0.5000 0.0000 0.0000  2 Ru 2.07
O 0.5000 0.5000 0.0000  2 Ru 2.07
O 0.6444 0.8222 0.3143  1 Ru 1.96
O 0.8222 0.1778 0.6857  1 Ru 1.96
O 0.8222 0.6444 0.6857  1 Ru 1.96

## Properties
SG: No. 164
Formation energy (no corrections) (eV per atom): -2.156
M_tot (μB/atom): 0.337
Energy above the lowest structure with this stoichiometry (meV per atom): 18
Electronic total energy (eV for the cell shown): -106.00